A plane-wave DFT calculation with PBEsol was carried out for a geometry-optimized BaZr2Cl structure.

abc: 5.2540 5.2540 5.2540
angles: 60.00 60.00 60.00
Sites, in units of the cell vectors:
1 Ba 0.0000 0.0000 0.0000
2 Zr 0.5000 0.5000 0.5000
3 Zr 0.7500 0.7500 0.7500
4 Cl 0.2500 0.2500 0.2500

Results
energy relative to the elements, uncorrected = 0.416 eV per atom
symmetry = F-43m (216)
N(E_F) = 7.44 states/eV/cell
total energy = -20.67 eV per formula unit
total moment = 1.52 μB per formula unit